# TbCeNd, optimized geometry, DFT PBE-GGA
data_TbCeNd
_chemical_formula_sum 'Tb1 Ce1 Nd1'
_cell_length_a 3.5559
_cell_length_b 3.5559
_cell_length_c 8.7547
_cell_angle_alpha 90.00
_cell_angle_beta 90.00
_cell_angle_gamma 120.00
_space_group_name_H-M_alt 'P 3 m 1'
_space_group_IT_number 156
loop_
_space_group_symop_operation_xyz
'x,y,z'
'-y,x-y,z'
'-x+y,-x,z'
'-y,-x,z'
'-x+y,y,z'
'x,x-y,z'
loop_
_atom_site_label
_atom_site_type_symbol
_atom_site_fract_x
_atom_site_fract_y
_atom_site_fract_z
Tb1 Tb 0.0000 0.0000 0.0000
Ce1 Ce 0.6667 0.3333 0.3218
Nd1 Nd 0.3333 0.6667 0.6517
# Electronic total energy = -5.036 eV per atom
# Volume = 32.0 Å³ per atom